An optimized crystal structure of ErV2SnO8, computed with GGA+U.

Results
symmetry = No. 164
magnetic moment = 0.0 Bohr magnetons per cell
calculated volume = 187.6 Å³/cell
energy = -7.312 eV/atom

Cell lengths 5.821, 5.821, 6.394 Å; angles 90.00, 90.00, 120.00 degrees
Element x y z (fractional)
Er  0.000  0.000  0.000
V  0.333  0.667  0.320
V  0.667  0.333  0.680
Sn  0.000  0.000  0.500
O  0.162  0.323  0.243
O  0.162  0.838  0.243
O  0.323  0.162  0.757
O  0.333  0.667  0.576
O  0.667  0.333  0.424
O  0.677  0.838  0.243
O  0.838  0.162  0.757
O  0.838  0.677  0.757